DFT (GGA-PBEsol) results for an optimized crystal structure of InIrSe2.

Summary:
Total DFT energy (no corrections) = -5.028 eV per atom

Lattice parameters (Å, degrees): 2.9980 4.5205 11.7622 90.00 90.00 90.00
Space group Imm2 (No. 44)
Unique sites:
In 0.0000 0.0000 0.0000 x2
Ir 0.0000 0.5000 0.7063 x2
Se 0.0000 0.0000 0.3759 x2
Se 0.0000 0.5000 0.1780 x2